Below is an optimized crystal structure of PdPb8, with properties calculated at the PBE level.

Lattice parameters (Å, degrees): 8.9007 8.9007 8.9007 92.28 92.28 157.00
Last column: nearest neighbours and their distance in Å.
Atoms (fractional coordinates):
Pd: 0.0000 0.0000 0.0000  8 Pb 3.03
Pb: 0.0000 0.3331 0.3331  10 Pb 3.41-3.55
Pb: 0.0000 0.6669 0.6669  10 Pb 3.41-3.55
Pb: 0.3331 0.0000 0.3331  10 Pb 3.41-3.55
Pb: 0.3590 0.3590 0.7181  2 Pd 3.03
Pb: 0.3590 0.6410 0.0000  2 Pd 3.03
Pb: 0.6410 0.3590 0.0000  2 Pd 3.03
Pb: 0.6410 0.6410 0.2819  2 Pd 3.03
Pb: 0.6669 0.0000 0.6669  10 Pb 3.41-3.55

Total magnetization   0.00 μB/cell
Space-group type   I4/mmm (139)
Density of states at the Fermi level   4.795 states/eV per cell
ΔH_f (0 K)   -1 kJ per mole of atoms